Entry from Alexandria: a relaxed Sm2HoAu6 crystal (GGA-PBE).

Cell and atoms, written as extended XYZ:
```
9
Lattice="-2.739 -1.379 4.546 5.241 -3.517 2.091 -0.551 6.425 1.617" Properties=species:S:1:pos:R:3 pbc="T T T"
Au -0.378 -1.251 4.839
Au 1.891 -2.773 5.744
Au 1.652 0.008 6.445
Au 2.329 2.780 3.415
Au 0.298 1.521 1.810
Au 0.060 4.302 2.510
Sm 2.386 -0.668 3.466
Sm -0.436 2.197 4.788
Ho -1.370 -0.690 2.273
```

Values from the calculation:
Fermi-level density of states, states/eV per atom: 0.67
DFT formation energy, eV/atom: -0.63
Space group: P-3m1, No. 164